LiGaSn | PBE | optimized geometry

```
LiGaSn
1.0
-2.619 -0.150 -3.625
7.186 -11.642 -4.713
0.189 -7.834 -2.575
Sn Ga Li
3 3 3
direct
0.254 0.754 0.491 Sn
0.280 0.114 0.439 Sn
0.280 0.447 0.439 Sn
0.504 0.504 0.991 Ga
0.032 0.358 0.936 Ga
0.032 0.707 0.936 Ga
0.503 0.169 0.993 Li
0.503 0.838 0.993 Li
0.047 0.047 0.907 Li
```

- Space group: Imm2, No. 44
- Energy relative to the elements: -14.3 kJ/mol of atoms
- DOS at the Fermi energy: 3.0 states/eV per cell
- Total energy: -28.2 eV per cell

=====

K12P3I5 | PBE | optimized geometry

```
K12P3I5
1.0
-5.200 -14.104 -8.303
16.393 -1.876 4.760
-9.767 2.374 13.924
P I K
12 20 48
direct
0.750 0.375 0.125 P
0.875 0.750 0.125 P
0.375 0.750 0.625 P
0.250 0.125 0.375 P
0.875 0.125 0.250 P
0.375 0.625 0.250 P
0.625 0.375 0.750 P
0.125 0.875 0.750 P
0.750 0.875 0.625 P
0.625 0.250 0.375 P
0.125 0.250 0.875 P
0.250 0.625 0.875 P
0.125 0.375 0.250 I
0.000 0.500 0.000 I
0.000 0.000 0.000 I
0.375 0.250 0.125 I
0.500 0.000 0.500 I
0.500 0.500 0.000 I
0.125 0.750 0.375 I
0.750 0.125 0.875 I
0.750 0.625 0.375 I
0.375 0.125 0.750 I
0.625 0.875 0.250 I
0.500 0.500 0.500 I
0.500 0.000 0.000 I
0.000 0.000 0.500 I
0.250 0.375 0.625 I
0.250 0.875 0.125 I
0.000 0.500 0.500 I
0.875 0.250 0.625 I
0.625 0.750 0.875 I
0.875 0.625 0.750 I
0.737 0.140 0.069 K
0.332 0.569 0.429 K
0.931 0.360 0.263 K
0.569 0.237 0.140 K
0.597 0.737 0.668 K
0.931 0.571 0.168 K
0.332 0.763 0.403 K
0.071 0.903 0.140 K
0.571 0.931 0.668 K
0.737 0.597 0.168 K
0.763 0.431 0.360 K
0.832 0.929 0.069 K
0.140 0.737 0.569 K
0.360 0.429 0.097 K
0.097 0.929 0.360 K
0.403 0.140 0.571 K
0.097 0.168 0.237 K
0.431 0.668 0.071 K
0.832 0.903 0.263 K
0.140 0.403 0.071 K
0.360 0.931 0.763 K
0.571 0.640 0.403 K
0.929 0.832 0.569 K
0.763 0.332 0.903 K
0.429 0.360 0.597 K
0.071 0.168 0.431 K
0.237 0.668 0.097 K
0.168 0.097 0.737 K
0.640 0.069 0.237 K
0.860 0.597 0.929 K
0.569 0.332 0.929 K
0.597 0.860 0.429 K
0.903 0.832 0.763 K
0.903 0.071 0.640 K
0.860 0.263 0.431 K
0.168 0.071 0.931 K
0.640 0.571 0.903 K
0.429 0.069 0.332 K
0.263 0.403 0.832 K
0.237 0.569 0.640 K
0.929 0.097 0.860 K
0.668 0.237 0.597 K
0.431 0.763 0.860 K
0.069 0.429 0.832 K
0.403 0.263 0.332 K
0.069 0.640 0.737 K
0.668 0.431 0.571 K
0.263 0.860 0.931 K
```

- Space group: Ia-3d, No. 230
- DOS at the Fermi energy: 34.6 states/eV per cell
- Formation energy from raw total energies: -701.4 meV/atom
- Total energy: -204.7 eV per cell